A geometry-optimized LiVAsO6 structure, computed with GGA+U.

The structure in POSCAR format:
```
LiVAsO6
1.0
4.9722 0.0000 0.0000
-2.4861 4.3061 0.0000
0.0000 0.0000 9.1116
O As Li V
12 2 2 2
Cartesian
-0.8865 1.5936 1.2601 O
0.9368 1.5645 7.8515 O
1.5493 2.7415 1.2601 O
4.0354 1.5645 5.8159 O
1.8233 0.0291 5.8159 O
-1.5493 2.7415 3.2957 O
0.6628 4.2770 3.2957 O
0.8865 1.5936 3.2957 O
1.5996 2.7125 5.8159 O
3.1489 0.0291 7.8515 O
-0.6628 4.2770 1.2601 O
3.3726 2.7125 7.8515 O
2.4861 1.4353 6.8337 As
0.0000 2.8707 2.2779 As
0.0000 0.0000 4.5558 Li
0.0000 0.0000 0.0000 Li
2.4861 1.4353 2.2779 V
0.0000 2.8707 6.8337 V
```

Values from the calculation:
Space-group type ... P-31c
Magnetization ... 1.03 μB per formula unit
Total energy ... -112.19 eV/cell